Cs3YNp2S6 after structural relaxation, computed with PBE-GGA.

Cell: 7.1650 7.1650 8.4110 Å, 98.16 98.16 120.00°
Sites, in units of the cell vectors:
1 Cs 0.0000 0.0000 0.0000
2 Cs 0.3343 0.6657 0.0000
3 Cs 0.6657 0.3343 0.0000
4 Y 0.5000 0.5000 0.5000
5 Np 0.1667 0.8333 0.5000
6 Np 0.8333 0.1667 0.5000
7 S 0.1063 0.4396 0.3188
8 S 0.2269 0.2269 0.6808
9 S 0.4396 0.1063 0.3188
10 S 0.5604 0.8937 0.6812
11 S 0.7731 0.7731 0.3192
12 S 0.8937 0.5604 0.6812

raw total energy = -6.47 eV per atom
formation energy (no corrections) = -1499 meV per atom
symmetry = No. 12
crystal system = monoclinic
DOS(E_F) = 1.868 states/eV/atom